[1]
First-principles (PBE-GGA) data for a geometry-optimized Tl2Hg3Au2 structure, as listed in Alexandria.

- ΔH_f (0 K): -9.6 kJ/mol of formula units
- Magnetization: 0.00 μB per cell
- Mass density: 12.2 Mg/m³
- DOS(E_F): 2.0 states/eV per cell
- Calculated volume: 190.46 Å³/cell

```
Tl2Hg3Au2
1.0
4.183 0.000 0.000
0.000 4.385 0.000
0.000 -2.193 10.384
Tl Hg Au
2 3 2
direct
0.000 0.831 0.662 Tl
0.000 0.169 0.338 Tl
0.000 0.000 0.000 Hg
0.500 0.571 0.141 Hg
0.500 0.429 0.859 Hg
0.500 0.294 0.588 Au
0.500 0.706 0.412 Au
```


[2]
First-principles (PBE-GGA) data for a geometry-optimized Tl4Hg5Au3 structure, as listed in Alexandria.

- ΔH_f (0 K): 7.1 kJ/mol of formula units
- Magnetization: 0.00 μB per cell
- Mass density: 12.4 Mg/m³
- DOS(E_F): 3.7 states/eV per cell
- Calculated volume: 321.96 Å³/cell

```
Tl4Hg5Au3
1.0
-1.385 5.134 -0.924
-7.062 -3.907 2.796
4.449 2.327 6.000
Au Hg Tl
3 5 4
direct
0.761 0.469 0.170 Au
0.500 0.000 0.500 Au
0.239 0.531 0.830 Au
0.000 0.000 0.500 Hg
0.344 0.648 0.234 Hg
0.656 0.352 0.766 Hg
0.563 0.124 0.200 Hg
0.437 0.876 0.800 Hg
0.906 0.792 0.053 Tl
0.823 0.649 0.575 Tl
0.177 0.351 0.425 Tl
0.094 0.208 0.947 Tl
```


[3]
First-principles (PBE-GGA) data for a geometry-optimized TlHgAu2 structure, as listed in Alexandria.

- ΔH_f (0 K): 46.2 kJ/mol of formula units
- Magnetization: 0.00 μB per cell
- Mass density: 15.1 Mg/m³
- DOS(E_F): 1.6 states/eV per cell
- Relative energy among the computed polymorphs: 120 meV/atom
- Calculated volume: 87.77 Å³/cell

```
TlHgAu2
1.0
-0.153 -5.166 -0.792
-0.699 -1.838 4.845
-2.829 3.661 -2.436
Hg Au Tl
1 2 1
direct
0.250 0.750 0.500 Hg
0.500 0.500 0.000 Au
0.000 0.000 0.000 Au
0.750 0.250 0.500 Tl
```


[4]
First-principles (PBE-GGA) data for a geometry-optimized Tl7HgAu3 structure, as listed in Alexandria.

- ΔH_f (0 K): -6.8 kJ/mol of formula units
- Magnetization: 0.00 μB per cell
- Mass density: 11.4 Mg/m³
- DOS(E_F): 5.2 states/eV per cell
- Calculated volume: 323.72 Å³/cell

```
Tl7HgAu3
1.0
-6.116 -2.089 -2.804
3.420 1.144 -5.808
2.922 -6.177 1.714
Tl Au Hg
7 3 1
direct
0.396 0.706 0.997 Tl
0.997 0.706 0.396 Tl
0.003 0.294 0.604 Tl
0.171 0.179 0.171 Tl
0.604 0.294 0.003 Tl
0.829 0.821 0.829 Tl
0.500 0.000 0.500 Tl
0.230 0.000 0.770 Au
0.000 0.500 0.000 Au
0.770 0.000 0.230 Au
0.500 0.500 0.500 Hg
```


[5]
First-principles (PBE-GGA) data for a geometry-optimized TlHgAu2 structure, as listed in Alexandria.

- ΔH_f (0 K): 33.3 kJ/mol of formula units
- Magnetization: 0.00 μB per cell
- Mass density: 14.9 Mg/m³
- DOS(E_F): 0.8 states/eV per cell
- Relative energy among the computed polymorphs: 87 meV/atom
- Calculated volume: 89.01 Å³/cell

```
TlHgAu2
1.0
3.039 0.000 0.000
0.000 3.842 0.000
0.000 0.000 7.623
Tl Au Hg
1 2 1
direct
0.500 0.500 0.750 Tl
0.000 0.000 0.021 Au
0.000 0.000 0.479 Au
0.500 0.500 0.250 Hg
```


[6]
First-principles (PBE-GGA) data for a geometry-optimized Tl5Hg12Au3 structure, as listed in Alexandria.

- ΔH_f (0 K): 233.2 kJ/mol of formula units
- Magnetization: 0.00 μB per cell
- Mass density: 10.1 Mg/m³
- DOS(E_F): 24.6 states/eV per cell
- Calculated volume: 2648.16 Å³/cell

```
Tl5Hg12Au3
1.0
-12.665 -4.442 -6.911
9.920 -11.378 0.125
-3.171 4.067 14.188
Hg Tl Au
48 20 12
direct
0.602 0.741 0.666 Hg
0.602 0.861 0.437 Hg
0.563 0.924 0.666 Hg
0.639 0.076 0.241 Hg
0.924 0.563 0.166 Hg
0.241 0.666 0.102 Hg
0.334 0.576 0.437 Hg
0.166 0.063 0.924 Hg
0.563 0.639 0.398 Hg
0.437 0.361 0.602 Hg
0.361 0.437 0.102 Hg
0.834 0.937 0.076 Hg
0.639 0.563 0.898 Hg
0.898 0.063 0.639 Hg
0.334 0.759 0.398 Hg
0.398 0.139 0.563 Hg
0.937 0.102 0.861 Hg
0.398 0.259 0.334 Hg
0.576 0.334 0.937 Hg
0.741 0.602 0.166 Hg
0.139 0.398 0.063 Hg
0.139 0.741 0.576 Hg
0.666 0.241 0.602 Hg
0.861 0.259 0.424 Hg
0.834 0.898 0.259 Hg
0.924 0.361 0.259 Hg
0.666 0.424 0.563 Hg
0.424 0.666 0.063 Hg
0.937 0.834 0.576 Hg
0.741 0.139 0.076 Hg
0.166 0.102 0.741 Hg
0.861 0.602 0.937 Hg
0.576 0.241 0.139 Hg
0.241 0.576 0.639 Hg
0.424 0.759 0.861 Hg
0.076 0.639 0.741 Hg
0.102 0.166 0.241 Hg
0.076 0.437 0.834 Hg
0.063 0.898 0.139 Hg
0.759 0.424 0.361 Hg
0.259 0.861 0.924 Hg
0.063 0.166 0.424 Hg
0.437 0.076 0.334 Hg
0.361 0.924 0.759 Hg
0.259 0.398 0.834 Hg
0.102 0.937 0.361 Hg
0.759 0.334 0.898 Hg
0.898 0.834 0.759 Hg
0.250 0.375 0.625 Tl
0.000 0.000 0.500 Tl
0.625 0.875 0.250 Tl
0.375 0.125 0.750 Tl
0.250 0.875 0.125 Tl
0.875 0.625 0.750 Tl
0.750 0.625 0.375 Tl
0.500 0.000 0.500 Tl
0.125 0.375 0.250 Tl
0.500 0.500 0.000 Tl
0.500 0.000 0.000 Tl
0.125 0.750 0.375 Tl
0.625 0.750 0.875 Tl
0.375 0.250 0.125 Tl
0.875 0.250 0.625 Tl
0.500 0.500 0.500 Tl
0.000 0.500 0.000 Tl
0.750 0.125 0.875 Tl
0.000 0.500 0.500 Tl
0.000 0.000 0.000 Tl
0.125 0.250 0.875 Au
0.125 0.875 0.750 Au
0.625 0.375 0.750 Au
0.750 0.375 0.125 Au
0.625 0.250 0.375 Au
0.875 0.750 0.125 Au
0.750 0.875 0.625 Au
0.250 0.125 0.375 Au
0.375 0.750 0.625 Au
0.875 0.125 0.250 Au
0.375 0.625 0.250 Au
0.250 0.625 0.875 Au
```


[7]
First-principles (PBE-GGA) data for a geometry-optimized Tl7Hg4Au structure, as listed in Alexandria.

- ΔH_f (0 K): 4.5 kJ/mol of formula units
- Magnetization: 0.00 μB per cell
- Mass density: 11.6 Mg/m³
- DOS(E_F): 5.8 states/eV per cell
- Relative energy among the computed polymorphs: 10 meV/atom
- Calculated volume: 349.28 Å³/cell

```
Tl7Hg4Au
1.0
-1.531 1.241 -3.070
-1.058 -3.196 1.403
-21.230 14.195 16.325
Tl Au Hg
7 1 4
direct
0.333 0.667 0.430 Tl
0.333 0.667 0.167 Tl
0.000 0.000 0.000 Tl
0.000 0.000 0.259 Tl
0.000 0.000 0.741 Tl
0.667 0.333 0.570 Tl
0.667 0.333 0.833 Tl
0.000 0.000 0.500 Au
0.667 0.333 0.083 Hg
0.333 0.667 0.656 Hg
0.333 0.667 0.917 Hg
0.667 0.333 0.344 Hg
```


[8]
First-principles (PBE-GGA) data for a geometry-optimized TlHg4Au structure, as listed in Alexandria.

- ΔH_f (0 K): 14.5 kJ/mol of formula units
- Magnetization: 0.00 μB per cell
- Mass density: 12.1 Mg/m³
- DOS(E_F): 3.3 states/eV per cell
- Relative energy among the computed polymorphs: 12 meV/atom
- Calculated volume: 331.34 Å³/cell

```
TlHg4Au
1.0
-1.801 -5.165 0.454
7.302 -2.673 -1.450
-1.007 4.655 7.921
Hg Au Tl
8 2 2
direct
0.000 0.180 0.000 Hg
0.834 0.317 0.635 Hg
0.166 0.683 0.365 Hg
0.371 0.642 0.745 Hg
0.629 0.897 0.255 Hg
0.371 0.103 0.745 Hg
0.000 0.820 0.000 Hg
0.629 0.358 0.255 Hg
0.261 0.505 0.010 Au
0.739 0.495 0.990 Au
0.196 0.201 0.401 Tl
0.804 0.799 0.599 Tl
```


[9]
First-principles (PBE-GGA) data for a geometry-optimized TlHg3Au2 structure, as listed in Alexandria.

- ΔH_f (0 K): 16.3 kJ/mol of formula units
- Magnetization: 0.00 μB per cell
- Mass density: 12.5 Mg/m³
- DOS(E_F): 4.7 states/eV per cell
- Relative energy among the computed polymorphs: 4 meV/atom
- Calculated volume: 319.67 Å³/cell

```
TlHg3Au2
1.0
9.857 0.000 0.000
4.928 8.536 0.000
4.928 2.845 3.799
Hg Au Tl
6 4 2
direct
0.759 0.257 0.226 Hg
0.759 0.759 0.226 Hg
0.257 0.759 0.226 Hg
0.241 0.241 0.774 Hg
0.743 0.241 0.774 Hg
0.241 0.743 0.774 Hg
0.500 0.000 0.000 Au
0.000 0.000 0.000 Au
0.000 0.500 0.000 Au
0.500 0.500 0.000 Au
0.743 0.743 0.772 Tl
0.257 0.257 0.228 Tl
```


[10]
First-principles (PBE-GGA) data for a geometry-optimized Tl12Hg3Au structure, as listed in Alexandria.

- ΔH_f (0 K): 37.7 kJ/mol of formula units
- Magnetization: 0.00 μB per cell
- Mass density: 11.6 Mg/m³
- DOS(E_F): 8.4 states/eV per cell
- Calculated volume: 466.17 Å³/cell

```
Tl12Hg3Au
1.0
-1.788 1.045 4.227
3.618 -2.187 2.071
10.832 18.033 0.125
Hg Tl Au
3 12 1
direct
0.000 0.000 0.500 Hg
0.000 0.000 0.247 Hg
0.000 0.000 0.753 Hg
0.000 0.500 0.373 Tl
0.000 0.500 0.884 Tl
0.500 0.500 0.244 Tl
0.000 0.500 0.116 Tl
0.500 0.500 0.756 Tl
0.000 0.500 0.627 Tl
0.500 0.500 0.500 Tl
0.500 0.000 0.884 Tl
0.500 0.000 0.373 Tl
0.500 0.000 0.627 Tl
0.500 0.000 0.116 Tl
0.500 0.500 0.000 Tl
0.000 0.000 0.000 Au
```


[11]
First-principles (PBE-GGA) data for a geometry-optimized Tl5HgAu structure, as listed in Alexandria.

- ΔH_f (0 K): 20.5 kJ/mol of formula units
- Magnetization: 0.00 μB per cell
- Mass density: 10.8 Mg/m³
- DOS(E_F): 6.9 states/eV per cell
- Relative energy among the computed polymorphs: 22 meV/atom
- Calculated volume: 435.43 Å³/cell

```
Tl5HgAu
1.0
6.254 -0.004 -2.826
-4.512 7.727 -1.769
0.393 -0.527 9.097
Tl Hg Au
10 2 2
direct
0.285 0.172 0.427 Tl
0.694 0.577 0.834 Tl
0.215 0.573 0.828 Tl
0.785 0.427 0.172 Tl
0.750 0.213 0.787 Tl
0.715 0.828 0.573 Tl
0.250 0.787 0.213 Tl
0.306 0.423 0.166 Tl
0.194 0.834 0.577 Tl
0.806 0.166 0.423 Tl
0.500 0.000 0.000 Hg
0.000 0.000 0.000 Hg
0.750 0.492 0.508 Au
0.250 0.508 0.492 Au
```


[12]
First-principles (PBE-GGA) data for a geometry-optimized Tl5Hg4Au structure, as listed in Alexandria.

- ΔH_f (0 K): 4.8 kJ/mol of formula units
- Magnetization: 0.00 μB per cell
- Mass density: 11.0 Mg/m³
- DOS(E_F): 4.6 states/eV per cell
- Relative energy among the computed polymorphs: 20 meV/atom
- Calculated volume: 304.23 Å³/cell

```
Tl5Hg4Au
1.0
-1.790 -5.365 2.151
2.157 -1.204 7.303
-6.942 0.245 3.344
Hg Tl Au
4 5 1
direct
0.569 0.586 0.278 Hg
0.847 0.722 0.586 Hg
0.433 0.414 0.722 Hg
0.155 0.278 0.414 Hg
0.501 0.000 0.000 Tl
0.134 0.612 0.121 Tl
0.256 0.879 0.612 Tl
0.867 0.388 0.879 Tl
0.746 0.121 0.388 Tl
0.001 0.000 0.000 Au
```


Question: What is the formula in the ninth record?
Answer: TlHg3Au2


Question: Which value of magnetization does entry 1 give?
Answer: 0.00 μB per cell


Question: Look up the DOS(E_F) of the tenth one.
Answer: 8.4 states/eV per cell